(1)
A plane-wave DFT calculation with PBE was carried out for AcRhCl after structural relaxation.

The calculation puts the energy at -5.700 eV per atom. Its density of states at the Fermi level is 0.340 states/eV per atom. As for the energy above the most stable polymorph in this dataset: 165.4 meV per atom.

It has space group I4/mmm (No. 139), with a = 4.056 Å, b = 4.056 Å, c = 18.343 Å, α = 90.00°, β = 90.00° and γ = 90.00°. Symmetry generates all atoms from Ac at (0.000, 0.000, 0.116), Rh at (0.000, 0.500, 0.000) and Cl at (0.000, 0.000, 0.308).

***

(2)
A plane-wave DFT calculation with PBE was carried out for Y2Ga2Os2C after structural relaxation.

The calculation puts the energy at -7.730 eV per atom. Its density of states at the Fermi level is 0.432 states/eV per atom. As for the energy of formation from the pure elements: -493 meV per atom.

It has space group C2/m (No. 12), with a = 10.982 Å, b = 4.024 Å, c = 7.054 Å, α = 90.00°, β = 126.56° and γ = 90.00°. Symmetry generates all atoms from Y at (0.066, 0.000, 0.291), Ga at (0.144, 0.500, 0.679), Os at (0.199, 0.500, 0.085) and C at (0.000, 0.500, 0.000).

***

(3)
A plane-wave DFT calculation with PBE was carried out for PmTm2Tl3S6 after structural relaxation.

The calculation puts the energy at -5.274 eV per atom. Its density of states at the Fermi level is 0.000 states/eV per atom.

It has space group C2/m (No. 12), with a = 6.989 Å, b = 12.101 Å, c = 7.871 Å, α = 90.00°, β = 107.21° and γ = 90.00°. Symmetry generates all atoms from Pm at (0.000, 0.000, 0.000), Tm at (0.000, 0.333, 0.000), Tl at (0.000, 0.165, 0.500), Tl at (0.000, 0.500, 0.500), S at (0.222, 0.500, 0.196) and S at (0.238, 0.172, 0.198).

***

(4)
A plane-wave DFT calculation with PBE was carried out for Dy4PuAs5 after structural relaxation.

The calculation puts the energy at -7.022 eV per atom. Its density of states at the Fermi level is 1.397 states/eV per atom. As for the energy of formation from the pure elements: -1424 meV per atom.

It has space group I4/m (No. 87), with a = 9.218 Å, b = 9.218 Å, c = 5.826 Å, α = 90.00°, β = 90.00° and γ = 90.00°. Symmetry generates all atoms from Dy at (0.100, 0.301, 0.000), Pu at (0.000, 0.000, 0.500), As at (0.000, 0.000, 0.000) and As at (0.099, 0.299, 0.500).

***

(5)
A plane-wave DFT calculation with PBE was carried out for CaDyAs2 after structural relaxation.

The calculation puts the energy at -5.060 eV per atom. Its density of states at the Fermi level is 0.946 states/eV per atom. As for the energy of formation from the pure elements: -1084 meV per atom. As for the energy above the most stable polymorph in this dataset: 108.5 meV per atom.

It has space group R3m (No. 160, hexagonal axes), with a = 4.2917 Å, b = 4.2917 Å, c = 20.0868 Å, α = 90.00°, β = 90.00° and γ = 120.00°. Symmetry generates all atoms from Ca at (0.0000, 0.0000, 0.0000), Dy at (0.0000, 0.0000, 0.1737), As at (0.0000, 0.0000, 0.4257) and As at (0.0000, 0.0000, 0.5811).

***

(6)
A plane-wave DFT calculation with PBE was carried out for MnGePHCN after structural relaxation.

The calculation puts the energy at -6.100 eV per atom. As for the energy above the most stable polymorph in this dataset: 499.8 meV per atom.

It has space group P1 (No. 1), with a = 3.688 Å, b = 4.834 Å, c = 5.913 Å, α = 83.97°, β = 81.20° and γ = 68.24°. Symmetry generates all atoms from Mn at (0.000, 0.000, 0.000), Ge at (0.042, 0.496, 0.933), P at (0.537, 0.819, 0.715), H at (0.348, 0.882, 0.507), C at (0.481, 0.136, 0.857) and N at (0.010, 0.937, 0.262).

***

(7)
A plane-wave DFT calculation with PBE was carried out for PmDyGe2 after structural relaxation.

The calculation puts the energy at -5.508 eV per atom. Its density of states at the Fermi level is 0.689 states/eV per atom. As for the energy of formation from the pure elements: -861 meV per atom.

It has space group Amm2 (No. 38), with a = 4.014 Å, b = 4.364 Å, c = 10.878 Å, α = 90.00°, β = 90.00° and γ = 90.00°. Symmetry generates all atoms from Pm at (0.000, 0.000, 0.000), Dy at (0.500, 0.000, 0.276), Ge at (0.000, 0.000, 0.723) and Ge at (0.500, 0.000, 0.555).

***

(8)
A plane-wave DFT calculation with PBE was carried out for Ce3GaSn after structural relaxation.

The calculation puts the energy at -5.344 eV per atom. Its density of states at the Fermi level is 2.074 states/eV per atom. As for the energy of formation from the pure elements: -378 meV per atom.

It has space group Cmcm (No. 63), with a = 7.706 Å, b = 12.114 Å, c = 5.843 Å, α = 90.00°, β = 90.00° and γ = 90.00°. Symmetry generates all atoms from Ce at (0.000, 0.211, 0.250), Ce at (0.219, 0.384, 0.250), Ga at (0.000, 0.000, 0.000) and Sn at (0.000, 0.346, 0.750).

***

(9)
A plane-wave DFT calculation with PBE was carried out for YHo5Rh6 after structural relaxation.

The calculation puts the energy at -7.017 eV per atom. Its density of states at the Fermi level is 0.564 states/eV per atom. As for the energy of formation from the pure elements: -896 meV per atom.

It has space group Cmmm (No. 65), with a = 4.816 Å, b = 14.466 Å, c = 6.856 Å, α = 90.00°, β = 90.00° and γ = 90.00°. Symmetry generates all atoms from Y at (0.000, 0.000, 0.000), Ho at (0.000, 0.000, 0.500), Ho at (0.000, 0.333, 0.000), Ho at (0.000, 0.333, 0.500), Rh at (0.000, 0.167, 0.251) and Rh at (0.000, 0.500, 0.252).

***

(10)
A plane-wave DFT calculation with PBE was carried out for TlMoW2 after structural relaxation.

The calculation puts the energy at -9.020 eV per atom. Its density of states at the Fermi level is 0.733 states/eV per atom. As for the energy of formation from the pure elements: 756 meV per atom. As for the energy above the most stable polymorph in this dataset: 253.2 meV per atom.

It has space group C2/m (No. 12), with a = 5.648 Å, b = 9.396 Å, c = 2.817 Å, α = 90.00°, β = 110.92° and γ = 90.00°. Symmetry generates all atoms from Tl at (0.000, 0.000, 0.000), Mo at (0.000, 0.500, 0.000) and W at (0.250, 0.250, 0.500).

***

(11)
A plane-wave DFT calculation with PBE was carried out for Ho3RhAu2 after structural relaxation.

The calculation puts the energy at -5.361 eV per atom. Its density of states at the Fermi level is 0.745 states/eV per atom. As for the energy of formation from the pure elements: -755 meV per atom. As for the energy above the most stable polymorph in this dataset: 123.2 meV per atom.

It has space group C2/c (No. 15), with a = 13.320 Å, b = 5.794 Å, c = 8.015 Å, α = 90.00°, β = 107.49° and γ = 90.00°. Symmetry generates all atoms from Ho at (0.000, 0.002, 0.250), Ho at (0.148, 0.498, 0.074), Rh at (0.000, 0.498, 0.750) and Au at (0.175, 0.002, 0.588).

***

(12)
A plane-wave DFT calculation with PBE was carried out for AcPaPdSe4 after structural relaxation.

The calculation puts the energy at -5.974 eV per atom. Its density of states at the Fermi level is 0.433 states/eV per atom.

It has space group P2_1/m (No. 11), with a = 6.867 Å, b = 6.365 Å, c = 8.489 Å, α = 90.00°, β = 108.44° and γ = 90.00°. Symmetry generates all atoms from Ac at (0.233, 0.250, 0.056), Pa at (0.253, 0.250, 0.561), Pd at (0.237, 0.750, 0.310), Se at (0.039, 0.520, 0.727), Se at (0.440, 0.750, 0.115) and Se at (0.449, 0.750, 0.608).

***

(13)
A plane-wave DFT calculation with PBE was carried out for KOsBr after structural relaxation.

The calculation puts the energy at -3.006 eV per atom. Its density of states at the Fermi level is 3.395 states/eV per atom. As for the energy above the most stable polymorph in this dataset: 724.8 meV per atom.

It has space group F-43m (No. 216), with a = 7.789 Å, b = 7.789 Å, c = 7.789 Å, α = 90.00°, β = 90.00° and γ = 90.00°. Symmetry generates all atoms from K at (0.000, 0.000, 0.000), Os at (0.250, 0.250, 0.250) and Br at (0.250, 0.250, 0.750).

***

(14)
A plane-wave DFT calculation with PBE was carried out for Tm5Al2Ga12 after structural relaxation.

The calculation puts the energy at -3.810 eV per atom. Its density of states at the Fermi level is 0.325 states/eV per atom. As for the energy of formation from the pure elements: -327 meV per atom.

It has space group C2/m (No. 12), with a = 14.856 Å, b = 7.047 Å, c = 7.580 Å, α = 90.00°, β = 96.02° and γ = 90.00°. Symmetry generates all atoms from Tm at (0.000, 0.000, 0.000), Tm at (0.152, 0.500, 0.243), Tm at (0.232, 0.000, 0.240), Al at (0.000, 0.322, 0.500), Ga at (0.049, 0.000, 0.363), Ga at (0.049, 0.500, 0.859), Ga at (0.165, 0.201, 0.914) and Ga at (0.175, 0.195, 0.565).

***

(15)
A plane-wave DFT calculation with PBE was carried out for Mg6CdSb after structural relaxation.

The calculation puts the energy at -1.895 eV per atom. Its density of states at the Fermi level is 0.407 states/eV per atom.

It has space group Amm2 (No. 38), with a = 4.994 Å, b = 6.696 Å, c = 10.980 Å, α = 90.00°, β = 90.00° and γ = 90.00°. Symmetry generates all atoms from Mg at (0.000, 0.000, 0.000), Mg at (0.000, 0.000, 0.495), Mg at (0.000, 0.240, 0.243), Mg at (0.500, 0.248, 0.573), Cd at (0.500, 0.000, 0.326) and Sb at (0.500, 0.000, 0.825).

***

(16)
A plane-wave DFT calculation with PBE was carried out for KPaTe2 after structural relaxation.

The calculation puts the energy at -5.137 eV per atom. Its density of states at the Fermi level is 0.890 states/eV per atom.

It has space group P4/mmm (No. 123), with a = 3.843 Å, b = 3.843 Å, c = 8.516 Å, α = 90.00°, β = 90.00° and γ = 90.00°. Symmetry generates all atoms from K at (0.000, 0.000, 0.000), Pa at (0.000, 0.000, 0.500) and Te at (0.500, 0.500, 0.290).

***

(17)
A plane-wave DFT calculation with PBE was carried out for Sm2Ho6In after structural relaxation.

The calculation puts the energy at -4.430 eV per atom. Its density of states at the Fermi level is 1.359 states/eV per atom. As for the energy of formation from the pure elements: -25 meV per atom. As for the energy above the most stable polymorph in this dataset: 0.0 meV per atom.

It has space group C2/c (No. 15), with a = 9.238 Å, b = 9.129 Å, c = 13.788 Å, α = 90.00°, β = 107.38° and γ = 90.00°. Symmetry generates all atoms from Sm at (0.203, 0.163, 0.305), Ho at (0.009, 0.329, 0.457), Ho at (0.122, 0.193, 0.864), Ho at (0.173, 0.012, 0.579) and In at (0.000, 0.493, 0.250).

***

(18)
A plane-wave DFT calculation with PBE was carried out for BeCuP2O after structural relaxation.

The calculation puts the energy at -4.728 eV per atom. Its density of states at the Fermi level is 0.229 states/eV per atom. As for the energy above the most stable polymorph in this dataset: 0.0 meV per atom.

It has space group P4/mmm (No. 123), with a = 4.786 Å, b = 4.786 Å, c = 2.857 Å, α = 90.00°, β = 90.00° and γ = 90.00°. Symmetry generates all atoms from Be at (0.000, 0.000, 0.000), Cu at (0.500, 0.500, 0.500), P at (0.000, 0.500, 0.000) and O at (0.000, 0.000, 0.500).

***

(19)
A plane-wave DFT calculation with PBE was carried out for LiAgCl2 after structural relaxation.

The calculation puts the energy at -3.106 eV per atom.

It has space group C2/m (No. 12), with a = 7.474 Å, b = 7.211 Å, c = 4.024 Å, α = 90.00°, β = 117.81° and γ = 90.00°. Symmetry generates all atoms from Li at (0.000, 0.000, 0.000), Ag at (0.000, 0.500, 0.000) and Cl at (0.250, 0.250, 0.000).

***

(20)
A plane-wave DFT calculation with PBE was carried out for Na3SrCa after structural relaxation.

The calculation puts the energy at -1.323 eV per atom. Its density of states at the Fermi level is 0.828 states/eV per atom. As for the energy of formation from the pure elements: 205 meV per atom. As for the energy above the most stable polymorph in this dataset: 118.4 meV per atom.

It has space group Cmcm (No. 63), with a = 6.332 Å, b = 24.964 Å, c = 5.624 Å, α = 90.00°, β = 90.00° and γ = 90.00°. Symmetry generates all atoms from Na at (0.000, 0.000, 0.000), Na at (0.250, 0.215, 0.250), Sr at (0.000, 0.428, 0.750) and Ca at (0.000, 0.135, 0.750).

***

(21)
A plane-wave DFT calculation with PBE was carried out for SmMg2Ga2Pd2 after structural relaxation.

The calculation puts the energy at -4.123 eV per atom. Its density of states at the Fermi level is 0.634 states/eV per atom. As for the energy of formation from the pure elements: -645 meV per atom.

It has space group R-3m (No. 166, hexagonal axes), with a = 4.4741 Å, b = 4.4741 Å, c = 23.8666 Å, α = 90.00°, β = 90.00° and γ = 120.00°. Symmetry generates all atoms from Sm at (0.0000, 0.0000, 0.0000), Mg at (0.0000, 0.0000, 0.1352), Ga at (0.0000, 0.0000, 0.4100) and Pd at (0.0000, 0.0000, 0.2508).

***

(22)
A plane-wave DFT calculation with PBE was carried out for LiMg2RuO6 after structural relaxation.

The calculation puts the energy at -6.047 eV per atom. Its density of states at the Fermi level is 0.398 states/eV per atom.

It has space group R3 (No. 146, hexagonal axes), with a = 5.1595 Å, b = 5.1595 Å, c = 14.0263 Å, α = 90.00°, β = 90.00° and γ = 120.00°. Symmetry generates all atoms from Li at (0.0000, 0.0000, 0.0000), Mg at (0.0000, 0.0000, 0.2797), Mg at (0.0000, 0.0000, 0.7834), Ru at (0.0000, 0.0000, 0.4778), O at (0.0023, 0.7091, 0.3890) and O at (0.0101, 0.3647, 0.2130).

***

(23)
A plane-wave DFT calculation with PBE was carried out for HfTi5Ge3 after structural relaxation.

The calculation puts the energy at -7.176 eV per atom. Its density of states at the Fermi level is 1.131 states/eV per atom. As for the energy of formation from the pure elements: -145 meV per atom.

It has space group I4/mcm (No. 140), with a = 6.348 Å, b = 6.348 Å, c = 15.745 Å, α = 90.00°, β = 90.00° and γ = 90.00°. Symmetry generates all atoms from Hf at (0.000, 0.500, 0.250), Ti at (0.000, 0.000, 0.000), Ti at (0.189, 0.311, 0.121), Ge at (0.000, 0.000, 0.250) and Ge at (0.131, 0.369, 0.500).